(1)
# Li2ZrMo

A relaxed Li2ZrMo crystal (GGA-PBEsol, Alexandria).

Structure (POSCAR):
```
Li2ZrMo
1.0
3.4738 0.0000 0.0000
0.0000 3.4738 0.0000
0.0000 0.0000 5.2150
Li Zr Mo
2 1 1
Cartesian
0.0000 0.0000 1.1588
0.0000 0.0000 4.0562
1.7369 1.7369 2.6075
1.7369 1.7369 0.0000
```

## Properties
Symmetry: P4/mmm (123)
Total energy: -5.555 eV per atom
ΔE to the lowest computed polymorph: 326.4 meV per atom
Mass density: 5305 kg/m3
Formation enthalpy at 0 K: 643 meV/atom

---

(2)
# As3PtAu

A relaxed As3PtAu crystal (GGA-PBEsol, Alexandria).

Structure (POSCAR):
```
As3PtAu
1.0
4.8308 0.0000 0.0000
0.0000 4.8308 0.0000
0.0000 0.0000 4.8308
As Pt Au
3 1 1
Cartesian
0.0000 0.0000 2.4154
0.0000 2.4154 0.0000
2.4154 0.0000 0.0000
0.0000 0.0000 0.0000
2.4154 2.4154 2.4154
```

## Properties
Symmetry: Pm-3m (221)
Total energy: -4.463 eV per atom
Mass density: 9085 kg/m3
Formation enthalpy at 0 K: 778 meV/atom

---

(3)
# KCr2Co

A relaxed KCr2Co crystal (GGA-PBEsol, Alexandria).

Structure (POSCAR):
```
KCr2Co
1.0
4.0938 -1.3772 0.0000
4.0938 1.3772 0.0000
-1.0848 0.0000 6.8338
K Cr Co
1 2 1
Cartesian
0.0000 0.0000 0.0000
3.4895 0.0000 3.5508
6.1305 0.0000 2.6930
1.1249 0.0000 4.3091
```

## Properties
Symmetry: Cm (8)
Total energy: -6.364 eV per atom
ΔE to the lowest computed polymorph: 140.2 meV per atom
Mass density: 4354 kg/m3
Formation enthalpy at 0 K: 975 meV/atom

---

(4)
# Rb2ZrSbRu

A relaxed Rb2ZrSbRu crystal (GGA-PBEsol, Alexandria).

Structure (POSCAR):
```
Rb2ZrSbRu
1.0
5.6978 0.0000 0.0000
0.0000 5.6978 0.0000
0.0000 0.0000 5.0994
Rb Zr Sb Ru
2 1 1 1
Cartesian
0.0000 2.8489 0.0000
2.8489 0.0000 0.0000
0.0000 0.0000 2.5497
2.8489 2.8489 2.5497
2.8489 2.8489 0.0000
```

## Properties
Symmetry: P4/mmm (123)
Total energy: -3.809 eV per atom
Mass density: 4865 kg/m3
Energy relative to the elements, uncorrected: 1.365 eV per atom

---

(5)
# CuSnTePd2

A relaxed CuSnTePd2 crystal (GGA-PBEsol, Alexandria).

Structure (POSCAR):
```
CuSnTePd2
1.0
4.8613 0.0000 0.0000
0.0000 4.8613 0.0000
0.0000 0.0000 5.5818
Cu Sn Te Pd
1 1 1 2
Cartesian
0.0000 0.0000 0.0000
2.4306 2.4306 2.7909
2.4306 2.4306 0.0000
0.0000 2.4306 2.7909
2.4306 0.0000 2.7909
```

## Properties
Symmetry: P4/mmm (123)
Total energy: -3.853 eV per atom
Mass density: 6580 kg/m3
Energy relative to the elements, uncorrected: 0.954 eV per atom

---

(6)
# NaEuSe2

A relaxed NaEuSe2 crystal (GGA-PBEsol, Alexandria).

Structure (POSCAR):
```
NaEuSe2
1.0
4.1970 0.0000 0.0000
0.0000 4.1970 0.0000
0.0000 0.0000 5.8244
Na Eu Se
1 1 2
Cartesian
0.0000 0.0000 0.0000
2.0985 2.0985 2.9122
0.0000 0.0000 2.9122
2.0985 2.0985 0.0000
```

## Properties
Symmetry: P4/mmm (123)
Total energy: -6.315 eV per atom
Mass density: 5388 kg/m3
Energy relative to the elements, uncorrected: -1.399 eV per atom

---

(7)
# LiMg2Zr

A relaxed LiMg2Zr crystal (GGA-PBEsol, Alexandria).

Structure (POSCAR):
```
LiMg2Zr
1.0
1.5172 0.8759 10.5192
-1.5172 0.8759 10.5192
0.0000 -1.7519 10.5192
Li Mg Zr
1 2 1
Cartesian
0.0000 0.0000 0.0000
0.0000 0.0000 7.9697
0.0000 0.0000 23.5880
0.0000 0.0000 15.7788
```

## Properties
Symmetry: R-3m (166)
Total energy: -3.598 eV per atom
Mass density: 2906 kg/m3
Formation enthalpy at 0 K: 25 meV/atom

---

(8)
# BeCo2Br

A relaxed BeCo2Br crystal (GGA-PBEsol, Alexandria).

Structure (POSCAR):
```
BeCo2Br
1.0
-1.5140 2.1414 3.6659
1.5140 -2.1414 3.6659
1.5140 2.1414 -3.6659
Be Co Br
1 2 1
Cartesian
0.0000 0.0000 0.0000
1.5140 0.0000 1.5808
0.0000 2.1414 2.0851
0.0000 0.0000 3.6659
```

## Properties
Symmetry: Immm (71)
Total energy: -4.707 eV per atom
ΔE to the lowest computed polymorph: 239.4 meV per atom
Mass density: 7223 kg/m3
Energy relative to the elements, uncorrected: 0.629 eV per atom

---

(9)
# ZrBe2Ru

A relaxed ZrBe2Ru crystal (GGA-PBEsol, Alexandria).

Structure (POSCAR):
```
ZrBe2Ru
1.0
3.3536 0.0000 0.0000
0.0000 1.5715 4.7185
0.0000 -1.5715 4.7185
Zr Be Ru
1 2 1
Cartesian
0.0000 0.0000 0.0000
0.0000 0.0000 2.5336
1.6768 0.0000 3.6321
1.6768 0.0000 6.5248
```

## Properties
Symmetry: Amm2 (38)
Total energy: -7.140 eV per atom
Mass density: 7022 kg/m3
Formation enthalpy at 0 K: -325 meV/atom

---

(10)
# BaScMo2

A relaxed BaScMo2 crystal (GGA-PBEsol, Alexandria).

Structure (POSCAR):
```
BaScMo2
1.0
3.9700 0.0000 0.0000
0.0000 3.9700 0.0000
0.0000 0.0000 5.1962
Ba Sc Mo
1 1 2
Cartesian
0.0000 0.0000 0.0000
1.9850 1.9850 0.0000
0.0000 1.9850 2.5981
1.9850 0.0000 2.5981
```

## Properties
Symmetry: P4/mmm (123)
Total energy: -6.895 eV per atom
ΔE to the lowest computed polymorph: 527.8 meV per atom
Mass density: 7586 kg/m3
Formation enthalpy at 0 K: 1177 meV/atom

---

(11)
# ReAu

A relaxed ReAu crystal (GGA-PBEsol, Alexandria).

Structure (POSCAR):
```
ReAu
1.0
2.7774 0.0000 0.0000
-1.3887 2.4053 0.0000
0.0000 0.0000 4.6470
Re Au
1 1
Cartesian
0.0000 0.0000 0.0000
0.0000 1.6035 2.3235
```

## Properties
Symmetry: P-6m2 (187)
Total energy: -8.103 eV per atom
ΔE to the lowest computed polymorph: 204.3 meV per atom
Mass density: 20496 kg/m3
Formation enthalpy at 0 K: 525 meV/atom

---

(12)
# Y2MnZnCo

A relaxed Y2MnZnCo crystal (GGA-PBEsol, Alexandria).

Structure (POSCAR):
```
Y2MnZnCo
1.0
4.9046 0.0000 0.0000
0.0000 4.9046 0.0000
0.0000 0.0000 4.5267
Y Mn Zn Co
2 1 1 1
Cartesian
0.0000 2.4523 0.0000
2.4523 0.0000 0.0000
0.0000 0.0000 0.0000
0.0000 0.0000 2.2633
2.4523 2.4523 2.2633
```

## Properties
Symmetry: P4/mmm (123)
Total energy: -5.831 eV per atom
Mass density: 5445 kg/m3
Formation enthalpy at 0 K: 714 meV/atom

---

(13)
# CaHg3Os

A relaxed CaHg3Os crystal (GGA-PBEsol, Alexandria).

Structure (POSCAR):
```
CaHg3Os
1.0
5.1424 0.0000 0.0000
0.0000 5.1424 0.0000
0.0000 0.0000 5.1424
Ca Hg Os
1 3 1
Cartesian
0.0000 0.0000 0.0000
0.0000 2.5712 2.5712
2.5712 0.0000 2.5712
2.5712 2.5712 0.0000
2.5712 2.5712 2.5712
```

## Properties
Symmetry: Pm-3m (221)
Total energy: -2.869 eV per atom
Mass density: 10161 kg/m3
Formation enthalpy at 0 K: 341 meV/atom

---

(14)
# BaPBr2

A relaxed BaPBr2 crystal (GGA-PBEsol, Alexandria).

Structure (POSCAR):
```
BaPBr2
1.0
2.8736 1.6591 3.8759
-2.8736 1.6591 3.8759
0.0000 -3.3182 3.8759
Ba P Br
1 1 2
Cartesian
0.0000 0.0000 0.0000
0.0000 0.0000 5.8138
0.0000 0.0000 3.2932
0.0000 0.0000 8.3345
```

## Properties
Symmetry: R-3m (166)
Total energy: -3.819 eV per atom
ΔE to the lowest computed polymorph: 0.0 meV per atom
Mass density: 4914 kg/m3
Energy relative to the elements, uncorrected: -0.899 eV per atom

---

(15)
# MgCl2

A relaxed MgCl2 crystal (GGA-PBEsol, Alexandria).

Structure (POSCAR):
```
MgCl2
1.0
1.8038 -8.4647 0.0000
1.8038 8.4647 0.0000
0.0000 0.0000 5.0650
Mg Cl
2 4
Cartesian
1.8038 5.4739 3.7988
1.8038 -5.4739 1.2663
1.8038 4.8999 1.2663
1.8038 1.4820 1.2663
1.8038 -1.4820 3.7988
1.8038 -4.8999 3.7988
```

## Properties
Symmetry: Cmcm (63)
Total energy: -3.699 eV per atom
Mass density: 2044 kg/m3
Energy relative to the elements, uncorrected: -1.788 eV per atom

---

(16)
# HfSe2

A relaxed HfSe2 crystal (GGA-PBEsol, Alexandria).

Structure (POSCAR):
```
HfSe2
1.0
3.6986 0.0000 0.0000
-1.8493 3.2031 0.0000
0.0000 0.0000 6.1744
Hf Se
1 2
Cartesian
0.0000 0.0000 0.0000
0.0000 2.1354 1.5761
1.8493 1.0677 4.5983
```

## Properties
Symmetry: P-3m1 (164)
Total energy: -7.400 eV per atom
Mass density: 7637 kg/m3
Energy relative to the elements, uncorrected: -1.332 eV per atom

---

(17)
# CuRe2BRh

A relaxed CuRe2BRh crystal (GGA-PBEsol, Alexandria).

Structure (POSCAR):
```
CuRe2BRh
1.0
4.5898 0.0000 0.0000
0.0000 4.5898 0.0000
0.0000 0.0000 4.4779
Cu Re B Rh
1 2 1 1
Cartesian
0.0000 0.0000 0.0000
0.0000 2.2949 2.2389
2.2949 0.0000 2.2389
2.2949 2.2949 0.0000
0.0000 0.0000 2.2389
```

## Properties
Symmetry: P4/mmm (123)
Total energy: -6.392 eV per atom
Mass density: 9676 kg/m3
Formation enthalpy at 0 K: 2838 meV/atom

---

(18)
# YTe2Mo

A relaxed YTe2Mo crystal (GGA-PBEsol, Alexandria).

Structure (POSCAR):
```
YTe2Mo
1.0
2.1529 1.2430 8.9198
-2.1529 1.2430 8.9198
0.0000 -2.4860 8.9198
Y Te Mo
1 2 1
Cartesian
0.0000 0.0000 0.0000
0.0000 0.0000 10.6561
0.0000 0.0000 16.1035
0.0000 0.0000 13.3798
```

## Properties
Symmetry: R-3m (166)
Total energy: -6.173 eV per atom
ΔE to the lowest computed polymorph: 640.5 meV per atom
Mass density: 5102 kg/m3
Energy relative to the elements, uncorrected: 0.238 eV per atom

---

(19)
# BaAlTc

A relaxed BaAlTc crystal (GGA-PBEsol, Alexandria).

Structure (POSCAR):
```
BaAlTc
1.0
0.0000 3.3747 3.3747
3.3747 0.0000 3.3747
3.3747 3.3747 0.0000
Ba Al Tc
1 1 1
Cartesian
0.0000 0.0000 0.0000
5.0620 5.0620 5.0620
3.3747 3.3747 3.3747
```

## Properties
Symmetry: F-43m (216)
Total energy: -4.718 eV per atom
Mass density: 5667 kg/m3
Formation enthalpy at 0 K: 1117 meV/atom

---

(20)
# ZrNbN3

A relaxed ZrNbN3 crystal (GGA-PBEsol, Alexandria).

Structure (POSCAR):
```
ZrNbN3
1.0
4.0523 0.0000 0.0000
0.0000 4.0523 0.0000
0.0000 0.0000 4.0523
Zr Nb N
1 1 3
Cartesian
0.0000 0.0000 0.0000
2.0261 2.0261 2.0261
0.0000 0.0000 2.0261
0.0000 2.0261 0.0000
2.0261 0.0000 0.0000
```

## Properties
Symmetry: Pm-3m (221)
Total energy: -8.613 eV per atom
Mass density: 5644 kg/m3
Energy relative to the elements, uncorrected: 0.485 eV per atom